(1)
## K2MgPtO4 (PBE)

Data for a relaxed structure of K2MgPtO4.

Computed properties:
The magnetic moment is 2.015 μB/f.u. The density of states at the Fermi level is 0.5879 states/eV/atom. For the volume, the calculation gives 1571 Å³ per cell. The value obtained for the energy relative to the elements, uncorrected is -1.194 eV/atom.

The structure in CIF format:
```
data_K2MgPtO4
_chemical_formula_sum 'K16 Mg8 Pt8 O32'
_symmetry_space_group_name_H-M 'F d d d'
_symmetry_Int_Tables_number 70
_cell_length_a 5.815
_cell_length_b 13.738
_cell_length_c 19.667
_cell_angle_alpha 90.00
_cell_angle_beta 90.00
_cell_angle_gamma 90.00
loop_
_symmetry_equiv_pos_as_xyz
'x,y,z'
'-x,-y,-z'
'-x+1/4,-y+1/4,z'
'x+1/4,y+1/4,-z'
'x,-y+1/4,-z+1/4'
'-x,y+1/4,z+1/4'
'-x+1/4,y,-z+1/4'
'x+1/4,-y,z+1/4'
'x,y+1/2,z+1/2'
'-x,-y+1/2,-z+1/2'
'-x+1/4,-y+3/4,z+1/2'
'x+1/4,y+3/4,-z+1/2'
'x,-y+3/4,-z+3/4'
'-x,y+3/4,z+3/4'
'-x+1/4,y+1/2,-z+3/4'
'x+1/4,-y+1/2,z+3/4'
'x+1/2,y,z+1/2'
'-x+1/2,-y,-z+1/2'
'-x+3/4,-y+1/4,z+1/2'
'x+3/4,y+1/4,-z+1/2'
'x+1/2,-y+1/4,-z+3/4'
'-x+1/2,y+1/4,z+3/4'
'-x+3/4,y,-z+3/4'
'x+3/4,-y,z+3/4'
'x+1/2,y+1/2,z'
'-x+1/2,-y+1/2,-z'
'-x+3/4,-y+3/4,z'
'x+3/4,y+3/4,-z'
'x+1/2,-y+3/4,-z+1/4'
'-x+1/2,y+3/4,z+1/4'
'-x+3/4,y+1/2,-z+1/4'
'x+3/4,-y+1/2,z+1/4'
loop_
_atom_site_label
_atom_site_fract_x
_atom_site_fract_y
_atom_site_fract_z
K1 0.125 0.125 0.306
Mg1 0.125 0.125 0.125
Pt1 0.125 0.125 0.625
O1 0.121 0.278 0.873
```



(2)
## K2PuMgO4 (PBE)

Data for a relaxed structure of K2PuMgO4.

Computed properties:
The magnetic moment is 4.000 μB/f.u. The density of states at the Fermi level is 0.6607 states/eV/atom. For the volume, the calculation gives 122 Å³ per cell. The value obtained for the energy relative to the elements, uncorrected is -2.297 eV/atom.

The structure in CIF format:
```
data_K2PuMgO4
_chemical_formula_sum 'K2 Pu1 Mg1 O4'
_symmetry_space_group_name_H-M 'P 1 2/m 1'
_symmetry_Int_Tables_number 10
_cell_length_a 5.675
_cell_length_b 3.457
_cell_length_c 6.483
_cell_angle_alpha 90.00
_cell_angle_beta 106.69
_cell_angle_gamma 90.00
loop_
_symmetry_equiv_pos_as_xyz
'x,y,z'
'-x,-y,-z'
'-x,y,-z'
'x,-y,z'
loop_
_atom_site_label
_atom_site_fract_x
_atom_site_fract_y
_atom_site_fract_z
K1 0.000 0.000 0.000
K2 0.500 0.500 0.000
Pu1 0.000 0.500 0.500
Mg1 0.500 0.000 0.500
O1 0.234 0.000 0.685
O2 0.267 0.500 0.319
```



(3)
## KRbMg6O7 (PBE)

Data for a relaxed structure of KRbMg6O7.

Computed properties:
The magnetic moment is 0.597 μB/f.u. The density of states at the Fermi level is 0.4403 states/eV/atom. For the volume, the calculation gives 250 Å³ per cell. The value obtained for the energy relative to the elements, uncorrected is -1.728 eV/atom.

The structure in CIF format:
```
data_KRbMg6O7
_chemical_formula_sum 'K1 Rb1 Mg6 O7'
_symmetry_space_group_name_H-M 'P 4 m m'
_symmetry_Int_Tables_number 99
_cell_length_a 4.145
_cell_length_b 4.145
_cell_length_c 14.545
_cell_angle_alpha 90.00
_cell_angle_beta 90.00
_cell_angle_gamma 90.00
loop_
_symmetry_equiv_pos_as_xyz
'x,y,z'
'-y,x,z'
'-x,-y,z'
'y,-x,z'
'-x,y,z'
'y,x,z'
'x,-y,z'
'-y,-x,z'
loop_
_atom_site_label
_atom_site_fract_x
_atom_site_fract_y
_atom_site_fract_z
K1 0.000 0.000 0.000
Rb1 0.000 0.000 0.498
Mg1 0.000 0.500 0.241
Mg2 0.000 0.500 0.760
Mg3 0.500 0.500 0.091
Mg4 0.500 0.500 0.390
O1 0.000 0.000 0.241
O2 0.000 0.000 0.767
O3 0.000 0.500 0.100
O4 0.000 0.500 0.383
O5 0.500 0.500 0.753
```



(4)
## KRbMg6O7 (PBE)

Data for a relaxed structure of KRbMg6O7.

Computed properties:
The magnetic moment is 0.016 μB/f.u. For the volume, the calculation gives 195 Å³ per cell. The value obtained for the energy relative to the elements, uncorrected is -1.800 eV/atom.

The structure in CIF format:
```
data_KRbMg6O7
_chemical_formula_sum 'K1 Rb1 Mg6 O7'
_symmetry_space_group_name_H-M 'P 4 m m'
_symmetry_Int_Tables_number 99
_cell_length_a 4.930
_cell_length_b 4.930
_cell_length_c 8.024
_cell_angle_alpha 90.00
_cell_angle_beta 90.00
_cell_angle_gamma 90.00
loop_
_symmetry_equiv_pos_as_xyz
'x,y,z'
'-y,x,z'
'-x,-y,z'
'y,-x,z'
'-x,y,z'
'y,x,z'
'x,-y,z'
'-y,-x,z'
loop_
_atom_site_label
_atom_site_fract_x
_atom_site_fract_y
_atom_site_fract_z
K1 0.000 0.000 0.000
Rb1 0.000 0.000 0.421
Mg1 0.000 0.500 0.231
Mg2 0.000 0.500 0.728
Mg3 0.500 0.500 0.486
Mg4 0.500 0.500 0.979
O1 0.000 0.000 0.717
O2 0.000 0.500 0.473
O3 0.000 0.500 0.992
O4 0.500 0.500 0.232
O5 0.500 0.500 0.732
```



Q: Which of these has the lowest energy relative to the elements, uncorrected?
A: K2PuMgO4



Copy entry 4 word for word.
## KRbMg6O7 (PBE)

Data for a relaxed structure of KRbMg6O7.

Computed properties:
The magnetic moment is 0.016 μB/f.u. For the volume, the calculation gives 195 Å³ per cell. The value obtained for the energy relative to the elements, uncorrected is -1.800 eV/atom.

The structure in CIF format:
```
data_KRbMg6O7
_chemical_formula_sum 'K1 Rb1 Mg6 O7'
_symmetry_space_group_name_H-M 'P 4 m m'
_symmetry_Int_Tables_number 99
_cell_length_a 4.930
_cell_length_b 4.930
_cell_length_c 8.024
_cell_angle_alpha 90.00
_cell_angle_beta 90.00
_cell_angle_gamma 90.00
loop_
_symmetry_equiv_pos_as_xyz
'x,y,z'
'-y,x,z'
'-x,-y,z'
'y,-x,z'
'-x,y,z'
'y,x,z'
'x,-y,z'
'-y,-x,z'
loop_
_atom_site_label
_atom_site_fract_x
_atom_site_fract_y
_atom_site_fract_z
K1 0.000 0.000 0.000
Rb1 0.000 0.000 0.421
Mg1 0.000 0.500 0.231
Mg2 0.000 0.500 0.728
Mg3 0.500 0.500 0.486
Mg4 0.500 0.500 0.979
O1 0.000 0.000 0.717
O2 0.000 0.500 0.473
O3 0.000 0.500 0.992
O4 0.500 0.500 0.232
O5 0.500 0.500 0.732
```



Q: energy relative to the elements, uncorrected of number 2 (K2PuMgO4)?
A: -2.297 eV/atom



Q: The highest magnetic moment belongs to which entry?
A: K2PuMgO4